The following is a DFT calculation (PBE-GGA) of a relaxed ThScCo crystal.

a = 3.274 Å, b = 3.274 Å, c = 12.260 Å
α = 90.00°, β = 90.00°, γ = 90.00°
Positions (direct):
Th 0.000 0.000 0.000
Th 0.500 0.500 0.500
Sc 0.000 0.000 0.267
Sc 0.500 0.500 0.767
Co 0.000 0.000 0.650
Co 0.500 0.500 0.150

Values from the calculation:
ΔE_f	-0.085	eV per atom
magnetization	0.50	μB per formula unit
symmetry	I4mm, No. 107
excess energy over the best structure of this formula in the dataset	0.177	eV per atom

***

The following is a DFT calculation (PBE-GGA) of a relaxed Th2ScCo2 crystal.

a = 7.459 Å, b = 7.459 Å, c = 3.735 Å
α = 90.00°, β = 90.00°, γ = 90.00°
Positions (direct):
Th 0.171 0.329 0.000
Th 0.329 0.829 0.000
Th 0.671 0.171 0.000
Th 0.829 0.671 0.000
Sc 0.000 0.000 0.500
Sc 0.500 0.500 0.500
Co 0.130 0.630 0.500
Co 0.370 0.130 0.500
Co 0.630 0.870 0.500
Co 0.870 0.370 0.500

Values from the calculation:
ΔE_f	-0.295	eV per atom
magnetization	0.00	μB per formula unit
symmetry	P4/mbm, No. 127

***

The following is a DFT calculation (PBE-GGA) of a relaxed ThScCo crystal.

a = 6.548 Å, b = 6.548 Å, c = 6.548 Å
α = 90.00°, β = 90.00°, γ = 90.00°
Positions (direct):
Th 0.000 0.000 0.000
Th 0.000 0.500 0.500
Th 0.500 0.000 0.500
Th 0.500 0.500 0.000
Sc 0.000 0.000 0.500
Sc 0.000 0.500 0.000
Sc 0.500 0.000 0.000
Sc 0.500 0.500 0.500
Co 0.250 0.250 0.750
Co 0.250 0.750 0.250
Co 0.750 0.250 0.250
Co 0.750 0.750 0.750

Values from the calculation:
ΔE_f	-0.069	eV per atom
magnetization	0.00	μB per formula unit
symmetry	F-43m, No. 216
excess energy over the best structure of this formula in the dataset	0.194	eV per atom

***

The following is a DFT calculation (PBE-GGA) of a relaxed Th2Sc3Co2 crystal.

a = 11.245 Å, b = 3.537 Å, c = 8.562 Å
α = 90.00°, β = 113.61°, γ = 90.00°
Positions (direct):
Th 0.167 0.000 0.305
Th 0.333 0.500 0.695
Th 0.667 0.500 0.305
Th 0.833 0.000 0.695
Sc 0.000 0.500 0.500
Sc 0.121 0.500 0.924
Sc 0.379 0.000 0.076
Sc 0.500 0.000 0.500
Sc 0.621 0.000 0.924
Sc 0.879 0.500 0.076
Co 0.173 0.000 0.737
Co 0.327 0.500 0.263
Co 0.673 0.500 0.737
Co 0.827 0.000 0.263

Values from the calculation:
ΔE_f	-0.232	eV per atom
magnetization	0.00	μB per formula unit
symmetry	C2/m, No. 12

***

The following is a DFT calculation (PBE-GGA) of a relaxed ThScCo crystal.

a = 6.428 Å, b = 5.905 Å, c = 9.761 Å
α = 90.00°, β = 130.57°, γ = 90.00°
Positions (direct):
Th 0.170 0.138 0.383
Th 0.170 0.362 0.883
Th 0.830 0.638 0.117
Th 0.830 0.862 0.617
Sc 0.351 0.614 0.642
Sc 0.351 0.886 0.142
Sc 0.649 0.114 0.858
Sc 0.649 0.386 0.358
Co 0.344 0.672 0.377
Co 0.344 0.828 0.877
Co 0.656 0.172 0.123
Co 0.656 0.328 0.623

Values from the calculation:
ΔE_f	-0.200	eV per atom
magnetization	0.00	μB per formula unit
symmetry	P2_1/c, No. 14
excess energy over the best structure of this formula in the dataset	0.062	eV per atom

***

The following is a DFT calculation (PBE-GGA) of a relaxed ThScCo crystal.

a = 3.781 Å, b = 3.781 Å, c = 5.760 Å
α = 90.00°, β = 90.00°, γ = 120.00°
Positions (direct):
Th 0.000 0.000 0.000
Sc 0.667 0.333 0.501
Co 0.333 0.667 0.263

Values from the calculation:
ΔE_f	-0.100	eV per atom
magnetization	0.00	μB per formula unit
symmetry	P3m1, No. 156
excess energy over the best structure of this formula in the dataset	0.162	eV per atom

***

The following is a DFT calculation (PBE-GGA) of a relaxed Sc2Ti3Co2 crystal.

a = 10.636 Å, b = 3.200 Å, c = 7.666 Å
α = 90.00°, β = 115.00°, γ = 90.00°
Positions (direct):
Sc 0.147 0.000 0.300
Sc 0.353 0.500 0.700
Sc 0.647 0.500 0.300
Sc 0.853 0.000 0.700
Ti 0.000 0.500 0.500
Ti 0.119 0.500 0.939
Ti 0.381 0.000 0.061
Ti 0.500 0.000 0.500
Ti 0.619 0.000 0.939
Ti 0.881 0.500 0.061
Co 0.158 0.000 0.735
Co 0.342 0.500 0.265
Co 0.658 0.500 0.735
Co 0.842 0.000 0.265

Values from the calculation:
ΔE_f	-0.225	eV per atom
magnetization	0.00	μB per formula unit
symmetry	C2/m, No. 12

***

The following is a DFT calculation (PBE-GGA) of a relaxed ScTi2Co2 crystal.

a = 7.167 Å, b = 7.167 Å, c = 2.933 Å
α = 90.00°, β = 90.00°, γ = 90.00°
Positions (direct):
Sc 0.000 0.000 0.000
Sc 0.500 0.500 0.000
Ti 0.154 0.346 0.500
Ti 0.346 0.846 0.500
Ti 0.654 0.154 0.500
Ti 0.846 0.654 0.500
Co 0.134 0.634 0.000
Co 0.366 0.134 0.000
Co 0.634 0.866 0.000
Co 0.866 0.366 0.000

Values from the calculation:
ΔE_f	-0.244	eV per atom
magnetization	0.00	μB per formula unit
symmetry	P4/mbm, No. 127
excess energy over the best structure of this formula in the dataset	0.032	eV per atom

***

The following is a DFT calculation (PBE-GGA) of a relaxed ScTi2Co crystal.

a = 3.054 Å, b = 3.054 Å, c = 7.142 Å
α = 90.00°, β = 90.00°, γ = 90.00°
Positions (direct):
Sc 0.000 0.000 0.000
Ti 0.500 0.500 0.302
Ti 0.500 0.500 0.698
Co 0.000 0.000 0.500

Values from the calculation:
ΔE_f	-0.064	eV per atom
magnetization	0.89	μB per formula unit
symmetry	P4/mmm, No. 123
excess energy over the best structure of this formula in the dataset	0.122	eV per atom

***

The following is a DFT calculation (PBE-GGA) of a relaxed ScTi2Co2 crystal.

a = 4.071 Å, b = 4.071 Å, c = 9.671 Å
α = 90.00°, β = 90.00°, γ = 90.00°
Positions (direct):
Sc 0.000 0.000 0.000
Sc 0.500 0.500 0.500
Ti 0.000 0.500 0.250
Ti 0.000 0.500 0.750
Ti 0.500 0.000 0.250
Ti 0.500 0.000 0.750
Co 0.000 0.000 0.387
Co 0.000 0.000 0.613
Co 0.500 0.500 0.113
Co 0.500 0.500 0.887

Values from the calculation:
ΔE_f	-0.277	eV per atom
magnetization	0.00	μB per formula unit
symmetry	I4/mmm, No. 139
excess energy over the best structure of this formula in the dataset	0.000	eV per atom

***

The following is a DFT calculation (PBE-GGA) of a relaxed ScTi2Co2 crystal.

a = 10.077 Å, b = 10.077 Å, c = 10.077 Å
α = 156.67°, β = 156.67°, γ = 33.23°
Positions (direct):
Sc 0.130 0.130 0.000
Sc 0.870 0.870 0.000
Ti 0.000 0.500 0.500
Ti 0.313 0.313 0.000
Ti 0.500 0.000 0.500
Ti 0.687 0.687 0.000
Co 0.250 0.750 0.500
Co 0.431 0.431 0.000
Co 0.569 0.569 0.000
Co 0.750 0.250 0.500

Values from the calculation:
ΔE_f	-0.158	eV per atom
magnetization	0.00	μB per formula unit
symmetry	I4/mmm, No. 139
excess energy over the best structure of this formula in the dataset	0.119	eV per atom

***

The following is a DFT calculation (PBE-GGA) of a relaxed ScTi2Co9 crystal.

a = 8.254 Å, b = 8.254 Å, c = 8.254 Å
α = 33.36°, β = 33.36°, γ = 33.36°
Positions (direct):
Sc 0.000 0.000 0.000
Ti 0.140 0.140 0.140
Ti 0.860 0.860 0.860
Co 0.079 0.589 0.589
Co 0.336 0.336 0.336
Co 0.411 0.411 0.921
Co 0.411 0.921 0.411
Co 0.500 0.500 0.500
Co 0.589 0.079 0.589
Co 0.589 0.589 0.079
Co 0.664 0.664 0.664
Co 0.921 0.411 0.411

Values from the calculation:
ΔE_f	-0.227	eV per atom
magnetization	9.33	μB per formula unit
symmetry	R-3m, No. 166

***

The following is a DFT calculation (PBE-GGA) of a relaxed ScTi2Co2 crystal.

a = 3.772 Å, b = 3.772 Å, c = 11.598 Å
α = 90.00°, β = 90.00°, γ = 90.00°
Positions (direct):
Sc 0.000 0.000 0.000
Sc 0.500 0.500 0.500
Ti 0.000 0.000 0.372
Ti 0.000 0.000 0.628
Ti 0.500 0.500 0.128
Ti 0.500 0.500 0.872
Co 0.000 0.500 0.250
Co 0.000 0.500 0.750
Co 0.500 0.000 0.250
Co 0.500 0.000 0.750

Values from the calculation:
ΔE_f	0.045	eV per atom
magnetization	0.00	μB per formula unit
symmetry	I4/mmm, No. 139
excess energy over the best structure of this formula in the dataset	0.322	eV per atom

***

The following is a DFT calculation (PBE-GGA) of a relaxed ScTi2Co2 crystal.

a = 3.014 Å, b = 17.702 Å, c = 2.894 Å
α = 90.00°, β = 90.00°, γ = 90.00°
Positions (direct):
Sc 0.000 0.000 0.000
Sc 0.500 0.500 0.000
Ti 0.000 0.177 0.000
Ti 0.000 0.823 0.000
Ti 0.500 0.323 0.000
Ti 0.500 0.677 0.000
Co 0.000 0.398 0.500
Co 0.000 0.602 0.500
Co 0.500 0.102 0.500
Co 0.500 0.898 0.500

Values from the calculation:
ΔE_f	-0.143	eV per atom
magnetization	0.00	μB per formula unit
symmetry	Cmmm, No. 65
excess energy over the best structure of this formula in the dataset	0.134	eV per atom

***

The following is a DFT calculation (PBE-GGA) of a relaxed Sc2Ti2Co crystal.

a = 6.169 Å, b = 6.169 Å, c = 4.833 Å
α = 90.00°, β = 90.00°, γ = 90.00°
Positions (direct):
Sc 0.169 0.331 0.000
Sc 0.331 0.831 0.000
Sc 0.669 0.169 0.000
Sc 0.831 0.669 0.000
Ti 0.151 0.651 0.500
Ti 0.349 0.151 0.500
Ti 0.651 0.849 0.500
Ti 0.849 0.349 0.500
Co 0.000 0.000 0.500
Co 0.500 0.500 0.500

Values from the calculation:
ΔE_f	-0.020	eV per atom
magnetization	0.00	μB per formula unit
symmetry	P4/mbm, No. 127
excess energy over the best structure of this formula in the dataset	0.036	eV per atom

***

The following is a DFT calculation (PBE-GGA) of a relaxed Sc2Ti2Co crystal.

a = 6.003 Å, b = 6.003 Å, c = 6.321 Å
α = 105.19°, β = 105.19°, γ = 58.52°
Positions (direct):
Sc 0.056 0.251 0.120
Sc 0.251 0.056 0.620
Sc 0.749 0.944 0.380
Sc 0.944 0.749 0.880
Ti 0.285 0.498 0.530
Ti 0.498 0.285 0.030
Ti 0.502 0.715 0.970
Ti 0.715 0.502 0.470
Co 0.287 0.713 0.250
Co 0.713 0.287 0.750

Values from the calculation:
ΔE_f	-0.056	eV per atom
magnetization	0.00	μB per formula unit
symmetry	C2/c, No. 15
excess energy over the best structure of this formula in the dataset	0.000	eV per atom

***

The following is a DFT calculation (PBE-GGA) of a relaxed ScTi2Co crystal.

a = 5.867 Å, b = 3.102 Å, c = 7.617 Å
α = 90.00°, β = 100.06°, γ = 90.00°
Positions (direct):
Sc 0.240 0.250 0.443
Sc 0.760 0.750 0.557
Ti 0.090 0.250 0.863
Ti 0.398 0.750 0.123
Ti 0.602 0.250 0.877
Ti 0.910 0.750 0.137
Co 0.318 0.750 0.723
Co 0.682 0.250 0.277

Values from the calculation:
ΔE_f	-0.186	eV per atom
magnetization	0.00	μB per formula unit
symmetry	P2_1/m, No. 11
excess energy over the best structure of this formula in the dataset	0.000	eV per atom

***

The following is a DFT calculation (PBE-GGA) of a relaxed Sc2TiCo4 crystal.

a = 7.230 Å, b = 7.230 Å, c = 7.230 Å
α = 33.96°, β = 33.96°, γ = 33.96°
Positions (direct):
Sc 0.240 0.240 0.240
Sc 0.760 0.760 0.760
Ti 0.000 0.000 0.000
Co 0.117 0.117 0.117
Co 0.372 0.372 0.372
Co 0.628 0.628 0.628
Co 0.883 0.883 0.883

Values from the calculation:
ΔE_f	0.010	eV per atom
magnetization	0.00	μB per formula unit
symmetry	R-3m, No. 166

***

The following is a DFT calculation (PBE-GGA) of a relaxed Sc3TiCo8 crystal.

a = 8.364 Å, b = 8.364 Å, c = 8.364 Å
α = 33.58°, β = 33.58°, γ = 33.58°
Positions (direct):
Sc 0.000 0.000 0.000
Sc 0.126 0.126 0.126
Sc 0.624 0.624 0.624
Ti 0.500 0.500 0.500
Co 0.062 0.062 0.559
Co 0.062 0.559 0.062
Co 0.066 0.563 0.563
Co 0.313 0.313 0.313
Co 0.559 0.062 0.062
Co 0.563 0.066 0.563
Co 0.563 0.563 0.066
Co 0.813 0.813 0.813

Values from the calculation:
ΔE_f	-0.329	eV per atom
magnetization	6.19	μB per formula unit
symmetry	R3m, No. 160

***

The following is a DFT calculation (PBE-GGA) of a relaxed ScTi2Co crystal.

a = 6.312 Å, b = 6.312 Å, c = 6.312 Å
α = 90.00°, β = 90.00°, γ = 90.00°
Positions (direct):
Sc 0.000 0.000 0.000
Sc 0.000 0.500 0.500
Sc 0.500 0.000 0.500
Sc 0.500 0.500 0.000
Ti 0.250 0.250 0.250
Ti 0.250 0.250 0.750
Ti 0.250 0.750 0.250
Ti 0.250 0.750 0.750
Ti 0.750 0.250 0.250
Ti 0.750 0.250 0.750
Ti 0.750 0.750 0.250
Ti 0.750 0.750 0.750
Co 0.000 0.000 0.500
Co 0.000 0.500 0.000
Co 0.500 0.000 0.000
Co 0.500 0.500 0.500

Values from the calculation:
ΔE_f	0.089	eV per atom
magnetization	0.00	μB per formula unit
symmetry	Fm-3m, No. 225
excess energy over the best structure of this formula in the dataset	0.275	eV per atom